# 1
Here is a relaxed CaSmY2As4 crystal from Alexandria. Energies are from PBE.

Geometry as CIF:
```
data_CaSmY2As4
_cell_length_a 4.1672
_cell_length_b 7.2588
_cell_length_c 7.2290
_cell_angle_alpha 70.70
_cell_angle_beta 90.00
_cell_angle_gamma 90.00
_space_group_name_H-M_alt 'P 1'
_space_group_IT_number 1
_space_group_name_Hall 'P 1'
loop_
_atom_site_label
_atom_site_type_symbol
_atom_site_fract_x
_atom_site_fract_y
_atom_site_fract_z
Y1 Y 0.5000 0.0000 0.5000
As1 As 0.5000 0.2411 0.7552
As2 As 0.0000 0.7566 0.7492
As3 As 0.5000 0.7589 0.2448
Ca1 Ca 0.0000 0.5000 0.5000
As4 As 0.0000 0.2434 0.2508
Sm1 Sm 0.5000 0.5000 0.0000
Y2 Y 0.0000 0.0000 0.0000
```

Output
energy of formation	-1.38	eV/atom
spin magnetization	0.000	μB/cell
DFT total energy	-49.3	eV per formula unit
SG	P2/m, No. 10
volume	206.4	Å³/cell


# 2
Here is a relaxed Ca2SmZrAs4 crystal from Alexandria. Energies are from PBE.

Geometry as CIF:
```
data_Ca2SmZrAs4
_cell_length_a 4.0879
_cell_length_b 7.1237
_cell_length_c 7.2784
_cell_angle_alpha 108.77
_cell_angle_beta 90.00
_cell_angle_gamma 90.00
_space_group_name_H-M_alt 'P 1'
_space_group_IT_number 1
_space_group_name_Hall 'P 1'
loop_
_atom_site_label
_atom_site_type_symbol
_atom_site_fract_x
_atom_site_fract_y
_atom_site_fract_z
Zr1 Zr 0.0000 0.0000 0.0000
Ca1 Ca 0.0000 0.5000 0.5000
As1 As 0.0000 0.7609 0.2365
As2 As 0.0000 0.2391 0.7635
Sm1 Sm 0.5000 0.5000 0.0000
Ca2 Ca 0.5000 0.0000 0.5000
As3 As 0.5000 0.2294 0.2290
As4 As 0.5000 0.7706 0.7710
```

Output
energy of formation	-1.18	eV/atom
spin magnetization	0.000	μB/cell
DFT total energy	-45.3	eV per formula unit
SG	P2/m, No. 10
volume	200.7	Å³/cell


# 3
Here is a relaxed CaSm2ZrAs4 crystal from Alexandria. Energies are from PBE.

Geometry as CIF:
```
data_CaSm2ZrAs4
_cell_length_a 4.1146
_cell_length_b 7.1808
_cell_length_c 7.0819
_cell_angle_alpha 109.13
_cell_angle_beta 90.00
_cell_angle_gamma 90.00
_space_group_name_H-M_alt 'P 1'
_space_group_IT_number 1
_space_group_name_Hall 'P 1'
loop_
_atom_site_label
_atom_site_type_symbol
_atom_site_fract_x
_atom_site_fract_y
_atom_site_fract_z
As1 As 0.0000 0.7597 0.2410
Zr1 Zr 0.0000 0.0000 0.0000
Sm1 Sm 0.5000 0.0000 0.5000
Sm2 Sm 0.0000 0.5000 0.5000
As2 As 0.5000 0.7644 0.7656
Ca1 Ca 0.5000 0.5000 0.0000
As3 As 0.5000 0.2356 0.2344
As4 As 0.0000 0.2403 0.7590
```

Output
energy of formation	-1.31	eV/atom
spin magnetization	0.000	μB/cell
DFT total energy	-49.1	eV per formula unit
SG	P2/m, No. 10
volume	197.7	Å³/cell


# 4
Here is a relaxed CaSnAs2 crystal from Alexandria. Energies are from PBE.

Geometry as CIF:
```
data_CaSnAs2
_cell_length_a 4.0617
_cell_length_b 4.0617
_cell_length_c 7.5654
_cell_angle_alpha 74.43
_cell_angle_beta 74.43
_cell_angle_gamma 60.00
_space_group_name_H-M_alt 'P 1'
_space_group_IT_number 1
_space_group_name_Hall 'P 1'
loop_
_atom_site_label
_atom_site_type_symbol
_atom_site_fract_x
_atom_site_fract_y
_atom_site_fract_z
Sn1 Sn 0.4990 0.4990 0.5029
As1 As 0.2467 0.2467 0.2598
Ca1 Ca 0.6659 0.6659 0.0024
As2 As 0.0884 0.0884 0.7349
```

Output
energy of formation	-0.34	eV/atom
spin magnetization	0.000	μB/cell
DFT total energy	-16.7	eV per formula unit
SG	R3m, No. 160
volume	102.8	Å³/cell


# 5
Here is a relaxed CaSn2As2 crystal from Alexandria. Energies are from PBE.

Geometry as CIF:
```
data_CaSn2As2
_cell_length_a 4.2746
_cell_length_b 4.2746
_cell_length_c 7.8964
_cell_angle_alpha 74.30
_cell_angle_beta 74.30
_cell_angle_gamma 90.00
_space_group_name_H-M_alt 'P 1'
_space_group_IT_number 1
_space_group_name_Hall 'P 1'
loop_
_atom_site_label
_atom_site_type_symbol
_atom_site_fract_x
_atom_site_fract_y
_atom_site_fract_z
As1 As 0.5844 0.5844 0.8313
Ca1 Ca 0.0000 0.0000 0.0000
Sn1 Sn 0.7500 0.2500 0.5000
As2 As 0.4156 0.4156 0.1687
Sn2 Sn 0.2500 0.7500 0.5000
```

Output
energy of formation	-0.31	eV/atom
spin magnetization	0.000	μB/cell
DFT total energy	-20.8	eV per formula unit
SG	I4/mmm, No. 139
volume	133.3	Å³/cell


# 6
Here is a relaxed CaSnAs2 crystal from Alexandria. Energies are from PBE.

Geometry as CIF:
```
data_CaSnAs2
_cell_length_a 4.0666
_cell_length_b 4.0666
_cell_length_c 7.4181
_cell_angle_alpha 74.09
_cell_angle_beta 74.09
_cell_angle_gamma 60.00
_space_group_name_H-M_alt 'P 1'
_space_group_IT_number 1
_space_group_name_Hall 'P 1'
loop_
_atom_site_label
_atom_site_type_symbol
_atom_site_fract_x
_atom_site_fract_y
_atom_site_fract_z
Ca1 Ca 0.5000 0.5000 0.5000
As1 As 0.2579 0.2579 0.2263
Sn1 Sn 0.0000 0.0000 0.0000
As2 As 0.7421 0.7421 0.7737
```

Output
energy of formation	-0.47	eV/atom
spin magnetization	0.000	μB/cell
DFT total energy	-17.2	eV per formula unit
SG	R-3m, No. 166
volume	100.8	Å³/cell


# 7
Here is a relaxed CaSn3As crystal from Alexandria. Energies are from PBE.

Geometry as CIF:
```
data_CaSn3As
_cell_length_a 5.7133
_cell_length_b 5.7133
_cell_length_c 5.7133
_cell_angle_alpha 90.00
_cell_angle_beta 90.00
_cell_angle_gamma 90.00
_space_group_name_H-M_alt 'P 1'
_space_group_IT_number 1
_space_group_name_Hall 'P 1'
loop_
_atom_site_label
_atom_site_type_symbol
_atom_site_fract_x
_atom_site_fract_y
_atom_site_fract_z
Sn1 Sn 0.5000 0.0000 0.0000
Sn2 Sn 0.0000 0.5000 0.0000
Sn3 Sn 0.0000 0.0000 0.5000
As1 As 0.5000 0.5000 0.5000
Ca1 Ca 0.0000 0.0000 0.0000
```

Output
energy of formation	0.95	eV/atom
spin magnetization	0.902	μB/cell
DFT total energy	-13.9	eV per formula unit
SG	Pm-3m, No. 221
offset from the most stable computed form	384	kJ/mol of formula units
volume	186.5	Å³/cell


# 8
Here is a relaxed CaSn2As2 crystal from Alexandria. Energies are from PBE.

Geometry as CIF:
```
data_CaSn2As2
_cell_length_a 4.3334
_cell_length_b 4.3334
_cell_length_c 7.9175
_cell_angle_alpha 74.12
_cell_angle_beta 74.12
_cell_angle_gamma 90.00
_space_group_name_H-M_alt 'P 1'
_space_group_IT_number 1
_space_group_name_Hall 'P 1'
loop_
_atom_site_label
_atom_site_type_symbol
_atom_site_fract_x
_atom_site_fract_y
_atom_site_fract_z
As1 As 0.7500 0.2500 0.5000
As2 As 0.2500 0.7500 0.5000
Sn1 Sn 0.6124 0.6124 0.7752
Sn2 Sn 0.3876 0.3876 0.2248
Ca1 Ca 0.0000 0.0000 0.0000
```

Output
energy of formation	-0.04	eV/atom
spin magnetization	0.000	μB/cell
DFT total energy	-19.5	eV per formula unit
SG	I4/mmm, No. 139
volume	137.1	Å³/cell